Record 1
VASP calculation (PBE) on crystalline KSiW at its relaxed geometry.

Space-group type: I4mm
Raw formation energy, meV per atom: 642.8
Volume, Å³/cell: 74.9
Energy relative to the lowest polymorph listed for this composition, kJ/mol of atoms: 0.2

CIF file:
```
data_KSiW
_chemical_formula_sum 'K1 Si1 W1'
_symmetry_space_group_name_H-M 'P 1'
_symmetry_Int_Tables_number 1
_cell_length_a 6.822
_cell_length_b 6.822
_cell_length_c 6.822
_cell_angle_alpha 150.91
_cell_angle_beta 150.91
_cell_angle_gamma 41.60
loop_
_symmetry_equiv_pos_as_xyz
'x,y,z'
loop_
_atom_site_label
_atom_site_fract_x
_atom_site_fract_y
_atom_site_fract_z
K1 0.000 0.000 0.000
Si1 0.744 0.744 0.000
W1 0.269 0.269 0.000
```



Record 2
VASP calculation (PBE) on crystalline KSiW2 at its relaxed geometry.

Space-group type: P4mm
Raw formation energy, meV per atom: 725.6
Volume, Å³/cell: 75.7

CIF file:
```
data_KSiW2
_chemical_formula_sum 'K1 Si1 W2'
_symmetry_space_group_name_H-M 'P 1'
_symmetry_Int_Tables_number 1
_cell_length_a 2.748
_cell_length_b 2.748
_cell_length_c 10.023
_cell_angle_alpha 90.00
_cell_angle_beta 90.00
_cell_angle_gamma 90.00
loop_
_symmetry_equiv_pos_as_xyz
'x,y,z'
loop_
_atom_site_label
_atom_site_fract_x
_atom_site_fract_y
_atom_site_fract_z
K1 0.000 0.000 0.000
Si1 0.500 0.500 0.268
W1 0.000 0.000 0.459
W2 0.500 0.500 0.682
```